Record 1
# Fe2TcCl (PBE, relaxed)
# crystal system	trigonal
# total DFT energy (no corrections)	-6.953	eV per atom
# density	7.2	g/cm3
# ΔE_f (raw)	1.33	eV/f.u.
# size of the total moment	15.898	μB per cell
data_Fe2TcCl
_chemical_formula_sum 'Fe6 Tc3 Cl3'
_symmetry_space_group_name_H-M 'R 3 m'
_symmetry_Int_Tables_number 160
_symmetry_space_group_name_Hall 'R 3 -2"'
_cell_length_a 2.8699
_cell_length_b 2.8699
_cell_length_c 23.6235
_cell_angle_alpha 90.00
_cell_angle_beta 90.00
_cell_angle_gamma 120.00
loop_
_atom_site_label
_atom_site_fract_x
_atom_site_fract_y
_atom_site_fract_z
Fe1 0.0000 0.0000 0.0000
Fe2 0.0000 0.0000 0.2531
Tc1 0.0000 0.0000 0.5052
Cl1 0.0000 0.0000 0.7470

---

Record 2
# Fe3TcCl (PBE, relaxed)
# crystal system	cubic
# total DFT energy (no corrections)	-6.289	eV per atom
# density	7.6	g/cm3
# ΔE_f (raw)	6.16	eV/f.u.
# size of the total moment	0.000	μB per cell
data_Fe3TcCl
_chemical_formula_sum 'Fe3 Tc1 Cl1'
_symmetry_space_group_name_H-M 'P m -3 m'
_symmetry_Int_Tables_number 221
_symmetry_space_group_name_Hall '-P 4 2 3'
_cell_length_a 4.032
_cell_length_b 4.032
_cell_length_c 4.032
_cell_angle_alpha 90.00
_cell_angle_beta 90.00
_cell_angle_gamma 90.00
loop_
_atom_site_label
_atom_site_fract_x
_atom_site_fract_y
_atom_site_fract_z
Fe1 0.000 0.000 0.500
Tc1 0.500 0.500 0.500
Cl1 0.000 0.000 0.000

---

Record 3
# FeTcCl (PBE, relaxed)
# crystal system	trigonal
# total DFT energy (no corrections)	-6.576	eV per atom
# density	7.3	g/cm3
# ΔE_f (raw)	0.95	eV/f.u.
# size of the total moment	1.689	μB per cell
data_FeTcCl
_chemical_formula_sum 'Fe1 Tc1 Cl1'
_symmetry_space_group_name_H-M 'P 3 m 1'
_symmetry_Int_Tables_number 156
_cell_length_a 2.8894
_cell_length_b 2.8894
_cell_length_c 5.9171
_cell_angle_alpha 90.00
_cell_angle_beta 90.00
_cell_angle_gamma 120.00
loop_
_symmetry_equiv_pos_as_xyz
'x,y,z'
'-y,x-y,z'
'-x+y,-x,z'
'-y,-x,z'
'-x+y,y,z'
'x,x-y,z'
loop_
_atom_site_label
_atom_site_fract_x
_atom_site_fract_y
_atom_site_fract_z
Fe1 0.0000 0.0000 0.0000
Tc1 0.6667 0.3333 0.3172
Cl1 0.3333 0.6667 0.6852

---

Record 4
# Fe2TcCl (PBE, relaxed)
# crystal system	cubic
# total DFT energy (no corrections)	-6.474	eV per atom
# density	7.6	g/cm3
# ΔE_f (raw)	3.24	eV/f.u.
# size of the total moment	16.578	μB per cell
data_Fe2TcCl
_chemical_formula_sum 'Fe8 Tc4 Cl4'
_symmetry_space_group_name_H-M 'F -4 3 m'
_symmetry_Int_Tables_number 216
_symmetry_space_group_name_Hall 'F -4 2 3'
_cell_length_a 5.972
_cell_length_b 5.972
_cell_length_c 5.972
_cell_angle_alpha 90.00
_cell_angle_beta 90.00
_cell_angle_gamma 90.00
loop_
_atom_site_label
_atom_site_fract_x
_atom_site_fract_y
_atom_site_fract_z
Fe1 0.000 0.000 0.000
Fe2 0.250 0.250 0.250
Tc1 0.000 0.000 0.500
Cl1 0.250 0.250 0.750

---

Record 5
# Fe2TcCl (PBE, relaxed)
# crystal system	cubic
# total DFT energy (no corrections)	-6.271	eV per atom
# density	7.5	g/cm3
# ΔE_f (raw)	4.06	eV/f.u.
# size of the total moment	11.641	μB per cell
data_Fe2TcCl
_chemical_formula_sum 'Fe8 Tc4 Cl4'
_symmetry_space_group_name_H-M 'F m -3 m'
_symmetry_Int_Tables_number 225
_symmetry_space_group_name_Hall '-F 4 2 3'
_cell_length_a 6.019
_cell_length_b 6.019
_cell_length_c 6.019
_cell_angle_alpha 90.00
_cell_angle_beta 90.00
_cell_angle_gamma 90.00
loop_
_atom_site_label
_atom_site_fract_x
_atom_site_fract_y
_atom_site_fract_z
Fe1 0.250 0.250 0.250
Tc1 0.000 0.000 0.000
Cl1 0.000 0.000 0.500

---

Record 6
# Fe2TcCl (PBE, relaxed)
# crystal system	orthorhombic
# total DFT energy (no corrections)	-6.637	eV per atom
# density	7.8	g/cm3
# ΔE_f (raw)	2.59	eV/f.u.
# size of the total moment	8.474	μB per cell
data_Fe2TcCl
_chemical_formula_sum 'Fe4 Tc2 Cl2'
_symmetry_space_group_name_H-M 'I m m m'
_symmetry_Int_Tables_number 71
_symmetry_space_group_name_Hall '-I 2 2'
_cell_length_a 2.782
_cell_length_b 4.313
_cell_length_c 8.656
_cell_angle_alpha 90.00
_cell_angle_beta 90.00
_cell_angle_gamma 90.00
loop_
_atom_site_label
_atom_site_fract_x
_atom_site_fract_y
_atom_site_fract_z
Fe1 0.000 0.000 0.233
Tc1 0.000 0.500 0.000
Cl1 0.000 0.500 0.500

---

Record 7
# Fe2TcCl (PBE, relaxed)
# crystal system	orthorhombic
# total DFT energy (no corrections)	-6.642	eV per atom
# density	7.2	g/cm3
# ΔE_f (raw)	2.57	eV/f.u.
# size of the total moment	12.287	μB per cell
data_Fe2TcCl
_chemical_formula_sum 'Fe4 Tc2 Cl2'
_symmetry_space_group_name_H-M 'C m m m'
_symmetry_Int_Tables_number 65
_symmetry_space_group_name_Hall '-C 2 2'
_cell_length_a 5.066
_cell_length_b 8.154
_cell_length_c 2.740
_cell_angle_alpha 90.00
_cell_angle_beta 90.00
_cell_angle_gamma 90.00
loop_
_atom_site_label
_atom_site_fract_x
_atom_site_fract_y
_atom_site_fract_z
Fe1 0.250 0.250 0.000
Tc1 0.000 0.000 0.500
Cl1 0.000 0.500 0.500

---

Record 8
# Fe2TcCl (PBE, relaxed)
# crystal system	orthorhombic
# total DFT energy (no corrections)	-6.857	eV per atom
# density	6.9	g/cm3
# ΔE_f (raw)	1.71	eV/f.u.
# size of the total moment	8.419	μB per cell
data_Fe2TcCl
_chemical_formula_sum 'Fe4 Tc2 Cl2'
_symmetry_space_group_name_H-M 'I m m 2'
_symmetry_Int_Tables_number 44
_cell_length_a 2.839
_cell_length_b 2.870
_cell_length_c 14.478
_cell_angle_alpha 90.00
_cell_angle_beta 90.00
_cell_angle_gamma 90.00
loop_
_symmetry_equiv_pos_as_xyz
'x,y,z'
'-x,-y,z'
'-x,y,z'
'x,-y,z'
'x+1/2,y+1/2,z+1/2'
'-x+1/2,-y+1/2,z+1/2'
'-x+1/2,y+1/2,z+1/2'
'x+1/2,-y+1/2,z+1/2'
loop_
_atom_site_label
_atom_site_fract_x
_atom_site_fract_y
_atom_site_fract_z
Fe1 0.000 0.000 0.000
Fe2 0.000 0.500 0.134
Tc1 0.000 0.500 0.731
Cl1 0.000 0.000 0.381